Material: DyScHg6
Method: DFT, GGA-PBE
State: relaxed

The space group is Amm2 (No. 38) and the conventional cell measures 4.9699, 6.5667 and 11.3493 Å, with angles of 90.00, 90.00 and 90.00 degrees. Symmetry generates all atoms from Dy at (0.0000, 0.0000, 0.0000), Sc at (0.5000, 0.0000, 0.6691), Hg at (0.0000, 0.0000, 0.5055), Hg at (0.0000, 0.2453, 0.7489), Hg at (0.5000, 0.0000, 0.1684) and Hg at (0.5000, 0.2469, 0.4172).

The formation energy is -0.2787 eV per atom. The value obtained for the density of states at the Fermi level is 0.762 states/eV per atom. As for the relative energy among the computed polymorphs: 0 meV/atom. The volume is 185.2 Å³/f.u.